No. 1
{"formula": "Cs2KNp3O12", "functional": "PBE", "state": "optimized geometry", "density_g_cm3": 5.637, "total_magnetization_mub_per_cell": 0.000, "raw_formation_energy_mev_per_atom": -2483, "dft_energy_ev_per_cell": -145.8, "lattice": [[7.807, -0.146, -0.104], [3.729, 6.861, -0.104], [3.729, 2.170, 6.509]], "species": ["O", "O", "O", "O", "O", "O", "O", "O", "O", "O", "O", "O", "Np", "Np", "Np", "K", "Cs", "Cs"], "fractional_positions": [[0.886, 0.433, 0.886], [0.114, 0.567, 0.114], [0.718, 0.097, 0.718], [0.433, 0.886, 0.886], [0.567, 0.114, 0.114], [0.097, 0.718, 0.718], [0.886, 0.886, 0.433], [0.718, 0.718, 0.097], [0.903, 0.282, 0.282], [0.114, 0.114, 0.567], [0.282, 0.903, 0.282], [0.282, 0.282, 0.903], [0.000, 0.500, 0.000], [0.000, 0.000, 0.500], [0.500, 0.000, 0.000], [0.000, 0.000, 0.000], [0.612, 0.612, 0.612], [0.388, 0.388, 0.388]]}



No. 2
{"formula": "TbPr2Hf", "functional": "PBE", "state": "optimized geometry", "density_g_cm3": 8.350, "formation_energy_ev_per_atom": 0.22, "total_magnetization_mub_per_cell": 0.000, "dft_energy_ev_per_cell": -23.3, "lattice": [[-1.077, -3.921, -0.273], [3.798, -1.111, 0.973], [-1.838, 0.005, 7.182]], "species": ["Pr", "Pr", "Hf", "Tb"], "fractional_positions": [[0.000, 0.000, 0.776], [0.000, 0.000, 0.224], [0.500, 0.500, 0.000], [0.500, 0.500, 0.500]]}



No. 3
{"formula": "La6CuNi2Cl3", "functional": "PBE", "state": "optimized geometry", "density_g_cm3": 5.614, "total_magnetization_mub_per_cell": 0.000, "raw_formation_energy_mev_per_atom": -913, "dft_energy_ev_per_cell": -61.7, "lattice": [[-0.334, 3.983, -1.522], [-8.411, 0.338, 2.731], [5.640, 1.068, 7.565]], "species": ["La", "La", "La", "La", "La", "La", "Cl", "Cl", "Cl", "Ni", "Ni", "Cu"], "fractional_positions": [[0.985, 0.749, 0.971], [0.319, 0.429, 0.638], [0.681, 0.571, 0.362], [0.341, 0.901, 0.682], [0.659, 0.099, 0.318], [0.015, 0.251, 0.029], [0.835, 0.165, 0.669], [0.165, 0.835, 0.331], [0.500, 0.500, 0.000], [0.834, 0.666, 0.667], [0.166, 0.334, 0.333], [0.500, 0.000, 0.000]]}



No. 4
{"formula": "ErAl2Sb", "functional": "PBE", "state": "optimized geometry", "density_g_cm3": 6.546, "total_magnetization_mub_per_cell": 0.000, "raw_formation_energy_mev_per_atom": -341, "dft_energy_ev_per_cell": -17.5, "lattice": [[-2.940, 1.893, -2.535], [-3.214, -1.029, 2.959], [0.693, 3.901, 2.109]], "species": ["Al", "Al", "Sb", "Er"], "fractional_positions": [[0.000, 0.500, 0.000], [0.000, 0.000, 0.500], [0.500, 0.000, 0.000], [0.500, 0.500, 0.500]]}



No. 5
{"formula": "LiMn2Os", "functional": "PBE", "state": "optimized geometry", "density_g_cm3": 9.716, "formation_energy_ev_per_atom": 0.33, "total_magnetization_mub_per_cell": 1.993, "dft_energy_ev_per_cell": -30.2, "lattice": [[-4.606, -5.009, 5.832], [-2.550, -4.443, 7.353], [-4.562, -2.774, 7.197]], "species": ["Mn", "Mn", "Li", "Os"], "fractional_positions": [[0.504, 0.504, 0.504], [0.996, 0.996, 0.996], [0.750, 0.750, 0.750], [0.250, 0.250, 0.250]]}



No. 6
{"formula": "Pr6Nd7", "functional": "PBE", "state": "optimized geometry", "density_g_cm3": 6.611, "formation_energy_ev_per_atom": 0.22, "total_magnetization_mub_per_cell": 0.032, "dft_energy_ev_per_cell": -59.2, "lattice": [[-3.085, -3.000, -5.260], [-5.128, -4.327, 1.085], [-10.313, 6.387, -1.985]], "species": ["Nd", "Nd", "Nd", "Nd", "Nd", "Nd", "Nd", "Pr", "Pr", "Pr", "Pr", "Pr", "Pr"], "fractional_positions": [[0.000, 0.000, 0.000], [0.093, 0.093, 0.239], [0.425, 0.907, 0.761], [0.907, 0.425, 0.761], [0.093, 0.575, 0.239], [0.907, 0.907, 0.761], [0.575, 0.093, 0.239], [0.351, 0.351, 0.947], [0.454, 0.454, 0.639], [0.649, 0.649, 0.053], [0.164, 0.164, 0.508], [0.836, 0.836, 0.492], [0.546, 0.546, 0.361]]}



No. 7
{"formula": "Ba2PrCd3", "functional": "PBE", "state": "optimized geometry", "density_g_cm3": 5.951, "formation_energy_ev_per_atom": -0.29, "total_magnetization_mub_per_cell": 0.000, "dft_energy_ev_per_cell": -26.2, "lattice": [[-3.778, -1.780, -4.058], [-2.430, -8.691, 1.896], [-6.255, 2.755, 4.614]], "species": ["Cd", "Cd", "Cd", "Cd", "Cd", "Cd", "Pr", "Pr", "Ba", "Ba", "Ba", "Ba"], "fractional_positions": [[0.500, 0.000, 0.230], [0.176, 0.648, 0.785], [0.824, 0.352, 0.785], [0.824, 0.352, 0.215], [0.176, 0.648, 0.215], [0.500, 0.000, 0.770], [0.335, 0.329, 0.000], [0.665, 0.671, 0.000], [0.335, 0.330, 0.500], [0.665, 0.670, 0.500], [0.000, 0.000, 0.000], [0.000, 0.000, 0.500]]}



No. 8
{"formula": "TiMnAl3", "functional": "PBE", "state": "optimized geometry", "density_g_cm3": 4.104, "formation_energy_ev_per_atom": -0.27, "total_magnetization_mub_per_cell": 3.271, "dft_energy_ev_per_cell": -59.2, "lattice": [[-1.557, -2.830, 2.057], [5.344, -2.708, 0.320], [-3.884, 5.872, 5.137]], "species": ["Mn", "Mn", "Al", "Al", "Al", "Al", "Al", "Al", "Ti", "Ti"], "fractional_positions": [[0.250, 0.194, 0.162], [0.750, 0.806, 0.838], [0.250, 0.624, 0.941], [0.750, 0.597, 0.454], [0.750, 0.376, 0.059], [0.250, 0.017, 0.774], [0.250, 0.403, 0.546], [0.750, 0.983, 0.226], [0.250, 0.793, 0.343], [0.750, 0.207, 0.657]]}



No. 9
{"formula": "Co2TcN", "functional": "PBE", "state": "optimized geometry", "density_g_cm3": 8.990, "total_magnetization_mub_per_cell": 0.000, "raw_formation_energy_mev_per_atom": 303, "dft_energy_ev_per_cell": -63.4, "lattice": [[-1.441, -4.726, 3.785], [3.753, -3.750, -3.253], [2.830, -3.699, 1.576]], "species": ["Co", "Co", "Co", "Co", "Tc", "Tc", "N", "N"], "fractional_positions": [[0.227, 0.625, 0.250], [0.523, 0.125, 0.250], [0.375, 0.477, 0.750], [0.875, 0.773, 0.750], [0.000, 0.000, 0.000], [0.750, 0.250, 0.500], [0.500, 0.500, 0.000], [0.250, 0.750, 0.500]]}



No. 10
{"formula": "Tl7SbH12", "functional": "PBE", "state": "optimized geometry", "density_g_cm3": 6.982, "total_magnetization_mub_per_cell": 0.000, "dft_energy_ev_per_cell": -60.1, "lattice": [[-4.465, -9.770, -9.705], [6.734, -2.551, 2.947], [-4.117, 8.165, 7.487]], "species": ["H", "H", "H", "H", "H", "H", "H", "H", "H", "H", "H", "H", "Tl", "Tl", "Tl", "Tl", "Tl", "Tl", "Tl", "Sb"], "fractional_positions": [[0.757, 0.876, 0.243], [0.790, 0.227, 0.294], [0.853, 0.328, 0.429], [0.296, 0.904, 0.809], [0.337, 0.624, 0.897], [0.224, 0.145, 0.678], [0.305, 0.246, 0.831], [0.226, 0.782, 0.669], [0.760, 0.526, 0.244], [0.401, 0.707, 0.032], [0.686, 0.749, 0.103], [0.696, 0.424, 0.109], [0.453, 0.868, 0.638], [0.025, 0.170, 0.281], [0.908, 0.619, 0.047], [0.591, 0.357, 0.407], [0.148, 0.659, 0.021], [0.720, 0.971, 0.667], [0.017, 0.041, 0.759], [0.306, 0.279, 0.341]]}



No. 11
{"formula": "CsCo2AsBr8", "functional": "PBE", "state": "optimized geometry", "density_g_cm3": 3.877, "total_magnetization_mub_per_cell": 6.000, "raw_formation_energy_mev_per_atom": -567, "dft_energy_ev_per_cell": -39.9, "lattice": [[6.741, 0.000, 0.000], [3.371, 5.838, 0.000], [3.371, 1.946, 10.502]], "species": ["Br", "Br", "Br", "Br", "Br", "Br", "Br", "Br", "Co", "Co", "Cs", "As"], "fractional_positions": [[0.055, 0.373, 0.849], [0.724, 0.055, 0.849], [0.813, 0.813, 0.560], [0.187, 0.187, 0.440], [0.945, 0.627, 0.151], [0.627, 0.276, 0.151], [0.373, 0.724, 0.849], [0.276, 0.945, 0.151], [0.261, 0.261, 0.218], [0.739, 0.739, 0.782], [0.500, 0.500, 0.500], [0.000, 0.000, 0.000]]}



No. 12
{"formula": "ScBeAlCr2", "functional": "PBE", "state": "optimized geometry", "density_g_cm3": 4.271, "formation_energy_ev_per_atom": 0.43, "total_magnetization_mub_per_cell": 0.000, "dft_energy_ev_per_cell": -30.9, "lattice": [[-2.275, -3.383, 0.791], [3.448, -2.055, 1.124], [-0.522, 1.268, 3.920]], "species": ["Be", "Cr", "Cr", "Al", "Sc"], "fractional_positions": [[0.000, 0.000, 0.000], [0.000, 0.000, 0.500], [0.500, 0.000, 0.000], [0.000, 0.500, 0.000], [0.500, 0.500, 0.500]]}



No. 13
{"formula": "In2Tc2Mo", "functional": "PBE", "state": "optimized geometry", "density_g_cm3": 8.842, "formation_energy_ev_per_atom": 0.78, "total_magnetization_mub_per_cell": 2.669, "dft_energy_ev_per_cell": -33.2, "lattice": [[-1.748, 1.748, 8.012], [1.748, -1.748, 8.012], [1.748, 1.748, -8.012]], "species": ["Mo", "Tc", "Tc", "In", "In"], "fractional_positions": [[0.000, 0.000, 0.000], [0.250, 0.750, 0.500], [0.750, 0.250, 0.500], [0.603, 0.603, 0.000], [0.397, 0.397, 0.000]]}



No. 14
{"formula": "LaCrMo2", "functional": "PBE", "state": "optimized geometry", "density_g_cm3": 8.803, "formation_energy_ev_per_atom": 0.72, "total_magnetization_mub_per_cell": 1.241, "dft_energy_ev_per_cell": -33.3, "lattice": [[-0.611, -2.574, -1.862], [0.158, -2.829, 3.860], [-4.574, 0.621, 0.643]], "species": ["Mo", "Mo", "La", "Cr"], "fractional_positions": [[0.500, 0.500, 0.000], [0.000, 0.000, 0.000], [0.000, 0.500, 0.500], [0.500, 0.000, 0.500]]}



No. 15
{"formula": "ScIr5", "functional": "PBE", "state": "optimized geometry", "density_g_cm3": 18.381, "formation_energy_ev_per_atom": -0.24, "total_magnetization_mub_per_cell": 0.000, "dft_energy_ev_per_cell": -52.1, "lattice": [[1.407, -7.255, 0.000], [1.407, 7.255, 0.000], [0.000, 0.000, 4.453]], "species": ["Ir", "Ir", "Ir", "Ir", "Ir", "Sc"], "fractional_positions": [[0.669, 0.331, 0.000], [0.780, 0.220, 0.500], [0.330, 0.670, 0.000], [0.446, 0.554, 0.500], [0.997, 0.003, 0.000], [0.112, 0.888, 0.500]]}



No. 16
{"formula": "ZnGaS3", "functional": "PBE", "state": "optimized geometry", "density_g_cm3": 4.250, "total_magnetization_mub_per_cell": 0.000, "raw_formation_energy_mev_per_atom": -204, "dft_energy_ev_per_cell": -35.4, "lattice": [[-3.161, -0.732, -5.198], [-4.654, -1.722, 3.073], [0.744, 5.653, -1.249]], "species": ["S", "S", "S", "S", "S", "S", "Zn", "Zn", "Ga", "Ga"], "fractional_positions": [[0.250, 0.019, 0.345], [0.750, 0.019, 0.675], [0.750, 0.655, 0.981], [0.250, 0.655, 0.675], [0.250, 0.325, 0.981], [0.750, 0.325, 0.345], [0.000, 0.667, 0.333], [0.500, 0.667, 0.333], [0.500, 0.000, 0.000], [0.000, 0.000, 0.000]]}



No. 17
{"formula": "NdPd2Au", "functional": "PBE", "state": "optimized geometry", "density_g_cm3": 11.631, "formation_energy_ev_per_atom": -0.64, "total_magnetization_mub_per_cell": 0.000, "dft_energy_ev_per_cell": -21.0, "lattice": [[-1.171, 4.403, -1.567], [-4.625, 1.335, -0.201], [-1.696, 3.285, 3.090]], "species": ["Pd", "Pd", "Nd", "Au"], "fractional_positions": [[0.750, 0.750, 0.750], [0.250, 0.250, 0.250], [0.000, 0.000, 0.000], [0.500, 0.500, 0.500]]}



No. 18
{"formula": "Pr7SmDy2", "functional": "PBE", "state": "optimized geometry", "density_g_cm3": 6.549, "formation_energy_ev_per_atom": 0.36, "total_magnetization_mub_per_cell": 0.000, "dft_energy_ev_per_cell": -43.8, "lattice": [[3.534, 0.000, 0.000], [0.000, 10.157, -2.780], [0.000, -0.675, 10.509]], "species": ["Pr", "Pr", "Pr", "Pr", "Pr", "Pr", "Pr", "Sm", "Dy", "Dy"], "fractional_positions": [[0.000, 0.322, 0.678], [0.500, 0.500, 0.500], [0.500, 0.875, 0.615], [0.500, 0.615, 0.875], [0.500, 0.385, 0.125], [0.500, 0.125, 0.385], [0.000, 0.678, 0.322], [0.000, 0.000, 0.000], [0.500, 0.167, 0.833], [0.500, 0.833, 0.167]]}



No. 19
{"formula": "La3Pm2Y4", "functional": "PBE", "state": "optimized geometry", "density_g_cm3": 5.723, "formation_energy_ev_per_atom": 0.02, "total_magnetization_mub_per_cell": 0.000, "dft_energy_ev_per_cell": -50.0, "lattice": [[3.658, 0.000, 0.000], [-1.829, 5.930, 0.991], [0.000, 4.150, 14.902]], "species": ["Y", "Y", "Y", "Y", "Pm", "Pm", "La", "La", "La"], "fractional_positions": [[0.000, 0.001, 0.330], [0.000, 0.999, 0.670], [0.333, 0.666, 0.889], [0.667, 0.334, 0.111], [0.333, 0.666, 0.220], [0.667, 0.334, 0.780], [0.000, 0.000, 0.000], [0.333, 0.665, 0.557], [0.667, 0.335, 0.443]]}



No. 20
{"formula": "B5C7", "functional": "PBE", "state": "optimized geometry", "density_g_cm3": 2.941, "formation_energy_ev_per_atom": 0.32, "total_magnetization_mub_per_cell": 0.000, "dft_energy_ev_per_cell": -94.1, "lattice": [[-1.944, 0.980, -1.233], [-0.042, -1.972, -1.500], [-7.921, -5.812, 7.865]], "species": ["B", "B", "B", "B", "B", "C", "C", "C", "C", "C", "C", "C"], "fractional_positions": [[0.000, 0.000, 0.686], [0.500, 0.500, 0.475], [0.500, 0.500, 0.163], [0.500, 0.000, 0.582], [0.500, 0.000, 0.924], [0.500, 0.000, 0.253], [0.000, 0.500, 0.078], [0.000, 0.000, 0.012], [0.000, 0.500, 0.394], [0.000, 0.000, 0.322], [0.000, 0.500, 0.773], [0.500, 0.500, 0.838]]}



No. 21
{"formula": "Pr4ZnCd", "functional": "PBE", "state": "optimized geometry", "density_g_cm3": 6.056, "formation_energy_ev_per_atom": 0.05, "total_magnetization_mub_per_cell": 0.000, "dft_energy_ev_per_cell": -21.0, "lattice": [[-1.006, 4.014, -3.164], [-4.914, 0.132, 1.730], [2.026, 4.772, 5.404]], "species": ["Pr", "Pr", "Pr", "Pr", "Cd", "Zn"], "fractional_positions": [[0.501, 0.998, 0.734], [0.501, 0.997, 0.263], [0.001, 0.497, 0.734], [0.001, 0.497, 0.263], [0.501, 0.497, 0.998], [0.001, 0.997, 0.498]]}



No. 22
{"formula": "AlZn2Rh3", "functional": "PBE", "state": "optimized geometry", "density_g_cm3": 9.435, "formation_energy_ev_per_atom": -0.66, "total_magnetization_mub_per_cell": 0.000, "dft_energy_ev_per_cell": -64.6, "lattice": [[-0.881, 0.289, 6.662], [-3.279, -0.691, -5.832], [0.648, -5.995, 0.346]], "species": ["Zn", "Zn", "Zn", "Zn", "Rh", "Rh", "Rh", "Rh", "Rh", "Rh", "Al", "Al"], "fractional_positions": [[0.666, 0.334, 0.500], [0.334, 0.666, 0.500], [0.000, 0.000, 0.000], [0.000, 0.000, 0.500], [0.500, 0.500, 0.247], [0.500, 0.500, 0.753], [0.831, 0.169, 0.755], [0.169, 0.831, 0.755], [0.831, 0.169, 0.245], [0.169, 0.831, 0.245], [0.665, 0.335, 0.000], [0.335, 0.665, 0.000]]}



No. 23
{"formula": "ThZn4Ag8", "functional": "PBE", "state": "optimized geometry", "density_g_cm3": 9.577, "formation_energy_ev_per_atom": -0.10, "total_magnetization_mub_per_cell": 0.000, "dft_energy_ev_per_cell": -36.6, "lattice": [[4.900, 0.000, 1.970], [2.450, 6.674, 0.985], [-0.039, 0.000, 7.177]], "species": ["Th", "Zn", "Zn", "Zn", "Zn", "Ag", "Ag", "Ag", "Ag", "Ag", "Ag", "Ag", "Ag"], "fractional_positions": [[0.000, 0.000, 0.000], [0.000, 0.000, 0.500], [0.500, 0.000, 0.500], [0.000, 0.500, 0.000], [0.500, 0.500, 0.000], [0.500, 0.216, 0.784], [0.716, 0.784, 0.784], [0.000, 0.347, 0.653], [0.500, 0.784, 0.216], [0.653, 0.347, 0.347], [0.347, 0.653, 0.653], [0.000, 0.653, 0.347], [0.284, 0.216, 0.216]]}